## Ca9H14N2 (PBE)

Data for Ca9H14N2 after structural relaxation.

Computed properties:
The value obtained for the density is 1.8 g/cm3. The calculation puts the energy at -93.00 eV/f.u.

Cell: 6.7665 6.7665 9.4924 Å, 90.00 90.00 120.00°
Last column: nearest neighbours and their distance in Å.
Space group P-3 (No. 147)
One atom of each set of equivalent atoms:
Ca1 0.0000 0.0000 0.0000  8 H 2.42-2.43
Ca2 0.0365 0.3417 0.3398  1 N 2.25, 6 H 2.31-2.42
Ca3 0.3333 0.6667 0.0196  1 N 2.26, 3 H 2.33
H1 0.0000 0.0000 0.2556  4 Ca 2.34-2.43
H2 0.0397 0.6891 0.9074  4 Ca 2.33-2.56
H3 0.0498 0.3663 0.5897  4 Ca 2.31-2.42
N1 0.3333 0.6667 0.2574  4 Ca 2.25-2.26

## Rb3As2S4 (PBE)

Data for Rb3As2S4 after structural relaxation.

Computed properties:
The value obtained for the density is 2.8 g/cm3. The calculation puts the energy at -35.30 eV/f.u. For the uncorrected formation energy, the calculation gives -6.6 eV per formula unit.

Cell: 15.2941 9.7054 8.6766 Å, 90.00 94.13 90.00°
Last column: nearest neighbours and their distance in Å.
Space group C2/c (No. 15)
One atom of each set of equivalent atoms:
Rb1 0.0000 0.0165 0.2500  6 S 3.50-3.66, 2 As 3.88
Rb2 0.1319 0.4008 0.8868  6 S 3.33-3.57
As1 0.1879 0.1575 0.5313  2 S 2.20-2.21
S1 0.0636 0.2753 0.5161  1 As 2.21
S2 0.2192 0.1053 0.7763  1 As 2.20

Values for total moment, μB per formula unit, ordered as above
2.02, 0.00
Values for D(E_F), states/eV/cell, ordered as above
10.2, 16.0